(1)
PmY2Tl9 | PBE | relaxed

Cell: 4.7889 4.7889 14.3669 Å, 90.00 90.00 90.00°
Last column: nearest neighbours and their distance in Å.
Atoms (fractional coordinates):
Pm: 0.0000 0.0000 0.0000  12 Tl 3.39-3.41
Y: 0.0000 0.0000 0.3341  12 Tl 3.37-3.39
Y: 0.0000 0.0000 0.6659  12 Tl 3.37-3.39
Tl: 0.0000 0.5000 0.1687  8 Tl 3.37-3.41, 2 Y 3.37, 2 Pm 3.41
Tl: 0.0000 0.5000 0.5000  4 Y 3.38, 8 Tl 3.38-3.39
Tl: 0.0000 0.5000 0.8313  8 Tl 3.37-3.41, 2 Y 3.37, 2 Pm 3.41
Tl: 0.5000 0.0000 0.1687  8 Tl 3.37-3.41, 2 Y 3.37, 2 Pm 3.41
Tl: 0.5000 0.0000 0.5000  4 Y 3.38, 8 Tl 3.38-3.39
Tl: 0.5000 0.0000 0.8313  8 Tl 3.37-3.41, 2 Y 3.37, 2 Pm 3.41
Tl: 0.5000 0.5000 0.0000  4 Pm 3.39, 8 Tl 3.41
Tl: 0.5000 0.5000 0.3339  8 Tl 3.37-3.38, 4 Y 3.39
Tl: 0.5000 0.5000 0.6661  8 Tl 3.37-3.38, 4 Y 3.39

* DOS(E_F): 3.7 states/eV per cell
* final energy: -42.212 eV/f.u.
* size of the total moment: 0.0 Bohr magnetons per cell
* space-group type: P4/mmm (123)
* ΔH_f (0 K): -270 meV per atom

=====

(2)
Pm2Y3Tl3 | PBE | relaxed

Cell: 9.1366 9.1366 6.7757 Å, 90.00 90.00 120.00°
Last column: nearest neighbours and their distance in Å.
Atoms (fractional coordinates):
Pm: 0.3333 0.6667 0.0000  6 Tl 3.27, 2 Pm 3.39
Pm: 0.3333 0.6667 0.5000  6 Tl 3.27, 2 Pm 3.39
Pm: 0.6667 0.3333 0.0000  6 Tl 3.27, 2 Pm 3.39
Pm: 0.6667 0.3333 0.5000  6 Tl 3.27, 2 Pm 3.39
Y: 0.0000 0.2354 0.2500  3 Tl 3.17-3.35
Y: 0.0000 0.7646 0.7500  3 Tl 3.17-3.35
Y: 0.2354 0.0000 0.2500  3 Tl 3.17-3.35
Y: 0.2354 0.2354 0.7500  3 Tl 3.17-3.35
Y: 0.7646 0.0000 0.7500  3 Tl 3.17-3.35
Y: 0.7646 0.7646 0.2500  3 Tl 3.17-3.35
Tl: 0.0000 0.3983 0.7500  3 Y 3.17-3.35, 4 Pm 3.27
Tl: 0.0000 0.6017 0.2500  3 Y 3.17-3.35, 4 Pm 3.27
Tl: 0.3983 0.0000 0.7500  3 Y 3.17-3.35, 4 Pm 3.27
Tl: 0.3983 0.3983 0.2500  3 Y 3.17-3.35, 4 Pm 3.27
Tl: 0.6017 0.0000 0.2500  3 Y 3.17-3.35, 4 Pm 3.27
Tl: 0.6017 0.6017 0.7500  3 Y 3.17-3.35, 4 Pm 3.27

* polymorph energy (0 for the lowest one): 0 meV per atom
* DOS(E_F): 23.2 states/eV per cell
* final energy: -38.464 eV/f.u.
* size of the total moment: 0.0 Bohr magnetons per cell
* space-group type: P6_3/mcm (193)
* ΔH_f (0 K): -309 meV per atom